No. 1
Zr4Si3Sb5: PBEsol geometry, meta-GGA SCAN.

Results
* final energy: -346.495 eV/f.u.
* space group: P-4m2, No. 115
* E_form (uncorrected): -0.61 eV/atom
* total magnetization: 0.0 μB/cell

Cell lengths 3.8012, 3.8012, 17.1473 Å; angles 90.00, 90.00, 90.00 degrees
With the nearest neighbours (Å) after each atom.
Fractional positions:
Sb  0.0000  0.5000  0.8013  5 Zr 2.95-3.09, 4 Sb 3.30
Sb  0.0000  0.5000  0.3102  5 Zr 2.93-3.13
Zr  0.5000  0.0000  0.3786  4 Si 2.82, 5 Sb 2.93-3.09
Zr  0.0000  0.5000  0.6214  4 Si 2.82, 5 Sb 2.93-3.09
Sb  0.5000  0.5000  0.0000  4 Si 2.69, 4 Zr 2.90
Sb  0.5000  0.0000  0.1987  5 Zr 2.95-3.09, 4 Sb 3.30
Zr  0.0000  0.5000  0.1279  7 Sb 2.90-3.13, 2 Si 2.90
Si  0.5000  0.5000  0.5000  4 Si 2.69, 4 Zr 2.82
Si  0.0000  0.0000  0.5000  4 Si 2.69, 4 Zr 2.82
Si  0.0000  0.0000  0.0000  4 Sb 2.69, 4 Zr 2.90
Sb  0.5000  0.0000  0.6898  5 Zr 2.93-3.13
Zr  0.5000  0.0000  0.8721  7 Sb 2.90-3.13, 2 Si 2.90


No. 2
Ca3Y: PBEsol geometry, meta-GGA SCAN.

Results
* final energy: -56.368 eV/f.u.
* space group: P2/m, No. 10
* energy relative to the lowest polymorph listed for this composition: 1.13 kcal/mol of atoms
* total magnetization: 0.2 μB/cell
* energy of formation from the pure elements: 0.1164 eV per atom

Cell lengths 3.5760, 5.8800, 7.1015 Å; angles 90.00, 101.67, 90.00 degrees
With the nearest neighbours (Å) after each atom.
Fractional positions:
Ca  0.2467  0.0000  0.2419  6 Ca 3.53-3.75, 2 Y 3.61
Y  0.5000  0.5000  0.0000  2 Y 3.58, 6 Ca 3.61-3.64
Ca  0.0000  0.5000  0.5000  6 Ca 3.58-3.67, 2 Y 3.64
Ca  0.7533  0.0000  0.7581  6 Ca 3.53-3.75, 2 Y 3.61


No. 3
Li2CoW: PBEsol geometry, meta-GGA SCAN.

Results
* final energy: -90.162 eV/f.u.
* space group: Pmm2, No. 25
* total magnetization: 0.0 μB/cell
* energy of formation from the pure elements: 0.4026 eV per atom

Cell lengths 2.5792, 3.6865, 5.7255 Å; angles 90.00, 90.00, 90.00 degrees
With the nearest neighbours (Å) after each atom.
Fractional positions:
Co  0.5000  0.5000  0.7195  4 W 2.47, 2 Co 2.58
Li  0.5000  0.5000  0.2352  6 Li 2.58-2.61, 1 Co 2.77, 4 W 2.86
Li  0.0000  0.0000  0.0026  6 Li 2.58-2.61, 1 W 2.63, 4 Co 2.77
W  0.0000  0.0000  0.5427  4 Co 2.47, 2 W 2.58, 1 Li 2.63


No. 4
ZnAgAs2: PBEsol geometry, meta-GGA SCAN.

Results
* final energy: -84.111 eV/f.u.
* space group: I4/mmm, No. 139
* total magnetization: 0.0 μB/cell
* energy of formation from the pure elements: 0.2882 eV per atom

Cell lengths 4.1827, 4.1827, 4.9751 Å; angles 114.86, 114.86, 90.00 degrees
With the nearest neighbours (Å) after each atom.
Fractional positions:
Zn  0.5000  0.5000  0.0000  8 As 2.89, 4 Ag 2.96
As  0.2500  0.7500  0.5000  4 Zn 2.89, 4 Ag 2.89, 4 As 2.96
As  0.7500  0.2500  0.5000  4 Zn 2.89, 4 Ag 2.89, 4 As 2.96
Ag  0.0000  0.0000  0.0000  8 As 2.89, 4 Zn 2.96